No. 1
Here is a relaxed structure of CaBeBPCF from Alexandria via LeMat-Bulk. Energies are from PBE.

Output
For the uncorrected formation energy, the calculation gives -0.81 eV/atom. As for the calculated volume: 94.1 Å³/f.u. The spin magnetization is 0.00 Bohr magnetons per cell. As for the energy above the most stable polymorph in this dataset: 0.0309 eV per atom. As for the theoretical density: 2.15 g/cm³.

Cell lengths 3.911, 4.405, 5.857 Å; angles 71.98, 78.87, 86.51 degrees
Positions (direct):
Be 0.109 0.497 0.447
C 0.912 0.267 0.305
B 0.890 0.939 0.320
F 0.055 0.367 0.735
Ca 0.487 0.266 0.976
P 0.633 0.629 0.261

---

No. 2
Here is a relaxed structure of KNp3Hg2Cl12 from Alexandria via LeMat-Bulk. Energies are from PBE.

Output
For the uncorrected formation energy, the calculation gives -1.49 eV/atom. As for the calculated volume: 789.9 Å³/f.u. The spin magnetization is 10.00 Bohr magnetons per cell. As for the theoretical density: 3.31 g/cm³.

Cell lengths 10.459, 10.459, 10.459 Å; angles 58.96, 58.96, 58.96 degrees
Each line ends with the local moment (μB).
Positions (direct):
K 0.000 0.000 0.000  0.00
Np 0.500 0.000 0.000  3.43
Np 0.000 0.500 0.000  3.43
Np 0.000 0.000 0.500  3.43
Hg 0.615 0.615 0.615  0.00
Hg 0.385 0.385 0.385  0.00
Cl 0.306 0.306 0.924  -0.04
Cl 0.922 0.922 0.362  -0.04
Cl 0.362 0.922 0.922  -0.04
Cl 0.924 0.306 0.306  -0.04
Cl 0.922 0.362 0.922  -0.04
Cl 0.306 0.924 0.306  -0.04
Cl 0.694 0.694 0.076  -0.04
Cl 0.078 0.078 0.638  -0.04
Cl 0.638 0.078 0.078  -0.04
Cl 0.076 0.694 0.694  -0.04
Cl 0.078 0.638 0.078  -0.04
Cl 0.694 0.076 0.694  -0.04

---

No. 3
Here is a relaxed structure of HfPb2O from Alexandria via LeMat-Bulk. Energies are from PBE.

Output
For the uncorrected formation energy, the calculation gives 0.06 eV/atom. As for the calculated volume: 89.8 Å³/f.u. The spin magnetization is 0.00 Bohr magnetons per cell. As for the theoretical density: 11.26 g/cm³.

Cell lengths 7.069, 7.069, 6.156 Å; angles 54.96, 54.96, 90.00 degrees
Positions (direct):
Pb 0.554 0.125 0.250
Pb 0.196 0.625 0.250
Pb 0.375 0.446 0.750
Pb 0.875 0.804 0.750
Hf 0.000 0.000 0.000
Hf 0.750 0.250 0.500
O 0.500 0.500 0.000
O 0.250 0.750 0.500

---

No. 4
Here is a relaxed structure of Ce8Sb2Ir from Alexandria via LeMat-Bulk. Energies are from PBE.

Output
For the uncorrected formation energy, the calculation gives -0.45 eV/atom. As for the calculated volume: 301.6 Å³/f.u. The spin magnetization is 5.21 Bohr magnetons per cell. As for the theoretical density: 8.57 g/cm³.

Cell lengths 5.533, 6.483, 9.698 Å; angles 114.11, 106.57, 90.00 degrees
Each line ends with the local moment (μB).
Positions (direct):
Ce 0.394 0.534 0.789  0.41
Ce 0.636 0.937 0.273  0.41
Ce 0.772 0.687 0.545  0.58
Ce 0.001 0.225 0.002  0.77
Ce 0.228 0.313 0.455  0.58
Ce 0.364 0.063 0.727  0.41
Ce 0.606 0.466 0.211  0.41
Ce 0.999 0.775 0.998  0.77
Sb 0.827 0.268 0.654  -0.01
Sb 0.173 0.732 0.346  -0.01
Ir 0.500 0.000 0.000  -0.04

---

No. 5
Here is a relaxed structure of Sr2Li3TlAu4 from Alexandria via LeMat-Bulk. Energies are from PBE.

Output
As for the calculated volume: 230.9 Å³/f.u. The spin magnetization is 0.00 Bohr magnetons per cell. The calculation puts the energy relative to the elements at -0.55 eV/atom. As for the theoretical density: 8.55 g/cm³.

Cell lengths 4.533, 4.533, 11.238 Å; angles 90.00, 90.00, 90.00 degrees
Positions (direct):
Sr 0.500 0.000 0.231
Sr 0.000 0.500 0.769
Li 0.000 0.000 0.500
Li 0.500 0.000 0.891
Li 0.000 0.500 0.109
Tl 0.500 0.500 0.500
Au 0.500 0.500 0.000
Au 0.000 0.000 0.000
Au 0.500 0.000 0.662
Au 0.000 0.500 0.338

---

No. 6
Here is a relaxed structure of LaDy7Y4 from Alexandria via LeMat-Bulk. Energies are from PBE.

Output
As for the calculated volume: 399.7 Å³/f.u. The spin magnetization is 0.00 Bohr magnetons per cell. As for the energy above the most stable polymorph in this dataset: 0.2612 eV per atom. The calculation puts the energy relative to the elements at 0.26 eV/atom. As for the theoretical density: 6.78 g/cm³.

Cell lengths 5.909, 11.576, 6.727 Å; angles 83.18, 63.94, 75.21 degrees
Positions (direct):
La 0.000 0.000 0.000
Dy 0.790 0.922 0.497
Dy 0.210 0.078 0.503
Dy 0.058 0.666 0.218
Dy 0.942 0.334 0.782
Dy 0.366 0.504 0.763
Dy 0.500 0.000 0.000
Dy 0.634 0.496 0.237
Y 0.629 0.225 0.517
Y 0.371 0.775 0.483
Y 0.747 0.685 0.822
Y 0.253 0.315 0.178

---

No. 7
Here is a relaxed structure of Sr2PRh from Alexandria via LeMat-Bulk. Energies are from PBE.

Output
As for the calculated volume: 123.3 Å³/f.u. The spin magnetization is 0.00 Bohr magnetons per cell. The calculation puts the energy relative to the elements at -0.76 eV/atom. As for the theoretical density: 4.16 g/cm³.

Cell lengths 4.201, 4.201, 8.407 Å; angles 75.94, 75.94, 59.97 degrees
Positions (direct):
Sr 0.045 0.045 0.872
Sr 0.205 0.205 0.378
P 0.792 0.792 0.624
Rh 0.458 0.458 0.626

---

No. 8
Here is a relaxed structure of CsMn2Rh from Alexandria via LeMat-Bulk. Energies are from PBE.

Output
As for the calculated volume: 80.6 Å³/f.u. The spin magnetization is 8.00 Bohr magnetons per cell. The calculation puts the energy relative to the elements at 1.23 eV/atom. As for the theoretical density: 7.12 g/cm³.

Cell lengths 4.848, 4.848, 4.848 Å; angles 60.00, 60.00, 60.00 degrees
Each line ends with the local moment (μB).
Positions (direct):
Cs 0.500 0.500 0.500  -0.01
Mn 0.250 0.250 0.250  3.75
Mn 0.750 0.750 0.750  3.75
Rh 0.000 0.000 0.000  0.42

---

No. 9
Here is a relaxed structure of TbPuCdGe from Alexandria via LeMat-Bulk. Energies are from PBE.

Output
As for the calculated volume: 98.7 Å³/f.u. The spin magnetization is 6.50 Bohr magnetons per cell. The calculation puts the energy relative to the elements at -0.31 eV/atom. As for the theoretical density: 9.90 g/cm³.

Cell lengths 5.187, 5.187, 5.187 Å; angles 60.00, 60.00, 60.00 degrees
Each line ends with the local moment (μB).
Positions (direct):
Ge 0.250 0.250 0.250  -0.05
Cd 0.750 0.750 0.750  0.06
Tb 0.000 0.000 0.000  0.37
Pu 0.500 0.500 0.500  5.54

---

No. 10
Here is a relaxed structure of CeYCd4 from Alexandria via LeMat-Bulk. Energies are from PBE.

Output
As for the calculated volume: 149.5 Å³/f.u. The spin magnetization is 1.30 Bohr magnetons per cell. As for the energy above the most stable polymorph in this dataset: 0.0115 eV per atom. The calculation puts the energy relative to the elements at -0.28 eV/atom. As for the theoretical density: 7.54 g/cm³.

Cell lengths 5.056, 6.072, 6.072 Å; angles 91.57, 65.40, 65.40 degrees
Each line ends with the local moment (μB).
Positions (direct):
Ce 0.000 0.000 0.000  0.85
Y 0.500 0.500 0.500  0.12
Cd 0.747 0.586 0.919  0.00
Cd 0.747 0.919 0.586  0.00
Cd 0.252 0.414 0.081  0.00
Cd 0.252 0.081 0.414  0.00

---

No. 11
Here is a relaxed structure of Tm8InAg2 from Alexandria via LeMat-Bulk. Energies are from PBE.

Output
As for the calculated volume: 296.1 Å³/f.u. The spin magnetization is 0.00 Bohr magnetons per cell. As for the energy above the most stable polymorph in this dataset: 0.0000 eV per atom. The calculation puts the energy relative to the elements at -0.18 eV/atom. As for the theoretical density: 9.43 g/cm³.

Cell lengths 5.098, 8.046, 8.465 Å; angles 115.27, 107.53, 90.00 degrees
Positions (direct):
Tm 0.603 0.466 0.206
Tm 0.314 0.033 0.627
Tm 0.153 0.214 0.306
Tm 0.060 0.733 0.120
Tm 0.847 0.786 0.694
Tm 0.686 0.967 0.373
Tm 0.397 0.534 0.794
Tm 0.940 0.267 0.880
In 0.500 0.000 0.000
Ag 0.212 0.624 0.424
Ag 0.788 0.376 0.576

---

No. 12
Here is a relaxed structure of KSm6Te8 from Alexandria via LeMat-Bulk. Energies are from PBE.

Output
For the uncorrected formation energy, the calculation gives -1.36 eV/atom. As for the calculated volume: 558.3 Å³/f.u. The spin magnetization is 1.18 Bohr magnetons per cell. As for the theoretical density: 5.84 g/cm³.

Cell lengths 4.538, 11.919, 11.919 Å; angles 120.00, 90.00, 90.00 degrees
Each line ends with the local moment (μB).
Positions (direct):
K 0.500 0.000 0.000  0.00
Sm 0.750 0.515 0.650  0.10
Sm 0.750 0.350 0.864  0.10
Sm 0.750 0.136 0.485  0.10
Sm 0.250 0.485 0.350  0.10
Sm 0.250 0.650 0.136  0.10
Sm 0.250 0.864 0.515  0.10
Te 0.750 0.650 0.955  -0.01
Te 0.750 0.045 0.696  -0.01
Te 0.750 0.304 0.350  -0.01
Te 0.250 0.350 0.045  -0.01
Te 0.250 0.955 0.304  -0.01
Te 0.250 0.696 0.650  -0.01
Te 0.750 0.667 0.333  0.00
Te 0.250 0.333 0.667  0.00

---

No. 13
Here is a relaxed structure of CeTlRh2 from Alexandria via LeMat-Bulk. Energies are from PBE.

Output
As for the calculated volume: 84.8 Å³/f.u. The spin magnetization is 0.00 Bohr magnetons per cell. The calculation puts the energy relative to the elements at -0.52 eV/atom. As for the theoretical density: 10.78 g/cm³.

Cell lengths 4.342, 5.478, 7.128 Å; angles 90.00, 90.00, 90.00 degrees
Positions (direct):
Ce 0.000 0.250 0.766
Ce 0.000 0.750 0.234
Tl 0.500 0.750 0.616
Tl 0.500 0.250 0.384
Rh 0.000 0.750 0.853
Rh 0.000 0.250 0.147
Rh 0.500 0.000 0.000
Rh 0.500 0.500 0.000

---

No. 14
Here is a relaxed structure of Si3Ir3Rh from Alexandria via LeMat-Bulk. Energies are from PBE.

Output
For the uncorrected formation energy, the calculation gives -0.59 eV/atom. As for the calculated volume: 99.0 Å³/f.u. The spin magnetization is 0.00 Bohr magnetons per cell. As for the theoretical density: 12.81 g/cm³.

Cell lengths 3.743, 10.292, 10.277 Å; angles 90.00, 90.00, 90.00 degrees
Positions (direct):
Si 0.750 0.912 0.907
Si 0.250 0.588 0.407
Si 0.250 0.088 0.093
Si 0.750 0.412 0.593
Si 0.750 0.928 0.417
Si 0.250 0.572 0.917
Si 0.250 0.072 0.583
Si 0.750 0.428 0.083
Si 0.750 0.723 0.156
Si 0.250 0.777 0.656
Si 0.250 0.277 0.844
Si 0.750 0.223 0.344
Ir 0.750 0.703 0.800
Ir 0.250 0.797 0.300
Ir 0.250 0.297 0.200
Ir 0.750 0.203 0.700
Ir 0.750 0.211 0.999
Ir 0.250 0.289 0.499
Ir 0.250 0.789 0.001
Ir 0.750 0.711 0.501
Ir 0.750 0.939 0.663
Ir 0.250 0.561 0.163
Ir 0.250 0.061 0.337
Ir 0.750 0.439 0.837
Rh 0.750 0.958 0.148
Rh 0.250 0.542 0.648
Rh 0.250 0.042 0.852
Rh 0.750 0.458 0.352

---

No. 15
Here is a relaxed structure of KCdCl2 from Alexandria via LeMat-Bulk. Energies are from PBE.

Output
For the uncorrected formation energy, the calculation gives -1.14 eV/atom. As for the calculated volume: 125.8 Å³/f.u. The spin magnetization is 0.00 Bohr magnetons per cell. As for the energy above the most stable polymorph in this dataset: 0.0454 eV per atom. As for the theoretical density: 2.94 g/cm³.

Cell lengths 5.509, 5.778, 8.855 Å; angles 109.04, 108.12, 90.00 degrees
Positions (direct):
K 0.542 0.919 0.571
K 0.042 0.419 0.571
Cd 0.042 0.919 0.071
Cd 0.042 0.419 0.071
Cl 0.151 0.024 0.797
Cl 0.934 0.813 0.345
Cl 0.425 0.313 0.345
Cl 0.660 0.524 0.797

---

No. 16
Here is a relaxed structure of KErGa2Br6 from Alexandria via LeMat-Bulk. Energies are from PBE.

Output
For the uncorrected formation energy, the calculation gives -1.32 eV/atom. As for the calculated volume: 367.1 Å³/f.u. The spin magnetization is 0.00 Bohr magnetons per cell. As for the theoretical density: 3.73 g/cm³.

Cell lengths 7.819, 7.820, 8.276 Å; angles 61.79, 61.78, 59.96 degrees
Positions (direct):
K 0.815 0.815 0.554
Er 0.325 0.325 0.026
Ga 0.516 0.516 0.451
Ga 0.010 0.010 0.969
Br 0.567 0.228 0.238
Br 0.228 0.967 0.238
Br 0.967 0.567 0.238
Br 0.398 0.697 0.767
Br 0.697 0.138 0.768
Br 0.138 0.398 0.768

---

No. 17
Here is a relaxed structure of TlHgIF4 from Alexandria via LeMat-Bulk. Energies are from PBE.

Output
For the uncorrected formation energy, the calculation gives -1.33 eV/atom. As for the calculated volume: 157.8 Å³/f.u. The spin magnetization is 0.00 Bohr magnetons per cell. As for the theoretical density: 6.40 g/cm³.

Cell lengths 7.602, 7.602, 8.526 Å; angles 65.36, 65.36, 45.92 degrees
Positions (direct):
Tl 0.627 0.627 0.796
Tl 0.373 0.373 0.204
Hg 0.146 0.146 0.090
Hg 0.854 0.854 0.910
I 0.936 0.936 0.303
I 0.064 0.064 0.697
F 0.297 0.297 0.477
F 0.703 0.703 0.523
F 0.026 0.505 0.150
F 0.553 0.553 0.094
F 0.495 0.974 0.850
F 0.505 0.026 0.150
F 0.447 0.447 0.906
F 0.974 0.495 0.850

---

No. 18
Here is a relaxed structure of SmMg2Sn2 from Alexandria via LeMat-Bulk. Energies are from PBE.

Output
As for the calculated volume: 140.5 Å³/f.u. The spin magnetization is 0.00 Bohr magnetons per cell. The calculation puts the energy relative to the elements at -0.07 eV/atom. As for the theoretical density: 5.16 g/cm³.

Cell lengths 5.019, 5.019, 12.882 Å; angles 90.00, 90.00, 120.00 degrees
Positions (direct):
Sm 0.000 0.000 0.250
Sm 0.000 0.000 0.750
Mg 0.667 0.333 0.750
Mg 0.000 0.000 0.000
Mg 0.000 0.000 0.500
Mg 0.333 0.667 0.250
Sn 0.333 0.667 0.626
Sn 0.667 0.333 0.126
Sn 0.667 0.333 0.374
Sn 0.333 0.667 0.874

---

No. 19
Here is a relaxed structure of Sr3LiPd from Alexandria via LeMat-Bulk. Energies are from PBE.

Output
As for the calculated volume: 183.5 Å³/f.u. The spin magnetization is 0.00 Bohr magnetons per cell. As for the energy above the most stable polymorph in this dataset: 0.0015 eV per atom. The calculation puts the energy relative to the elements at -0.27 eV/atom. As for the theoretical density: 3.40 g/cm³.

Cell lengths 4.503, 8.843, 10.276 Å; angles 86.48, 115.95, 90.00 degrees
Positions (direct):
Sr 0.017 0.995 0.251
Sr 0.459 0.441 0.194
Sr 0.661 0.700 0.895
Sr 0.116 0.078 0.850
Sr 0.360 0.358 0.594
Sr 0.816 0.735 0.549
Pd 0.382 0.980 0.616
Pd 0.094 0.455 0.828
Li 0.761 0.102 0.495
Li 0.715 0.333 0.949

---

No. 20
Here is a relaxed structure of Al4Zn2Cr from Alexandria via LeMat-Bulk. Energies are from PBE.

Output
As for the calculated volume: 116.7 Å³/f.u. The spin magnetization is 3.17 Bohr magnetons per cell. The calculation puts the energy relative to the elements at 0.21 eV/atom. As for the theoretical density: 4.14 g/cm³.

Cell lengths 7.005, 7.005, 5.495 Å; angles 129.60, 129.60, 90.00 degrees
Each line ends with the local moment (μB).
Positions (direct):
Al 0.807 0.192 0.000  -0.04
Al 0.192 0.807 0.000  -0.04
Al 0.808 0.808 0.000  -0.04
Al 0.193 0.193 0.000  -0.04
Zn 0.750 0.250 0.500  -0.01
Zn 0.250 0.750 0.500  -0.01
Cr 0.500 0.500 0.000  3.29

---

No. 21
Here is a relaxed structure of Ti6MnRu5 from Alexandria via LeMat-Bulk. Energies are from PBE.

Output
As for the calculated volume: 172.9 Å³/f.u. The spin magnetization is 0.00 Bohr magnetons per cell. The calculation puts the energy relative to the elements at -0.69 eV/atom. As for the theoretical density: 8.14 g/cm³.

Cell lengths 4.333, 6.134, 7.507 Å; angles 114.11, 106.69, 90.00 degrees
Positions (direct):
Ru 0.667 0.167 0.333
Ru 0.333 0.333 0.667
Ru 0.000 0.500 0.000
Ru 0.667 0.667 0.333
Ru 0.333 0.833 0.667
Mn 0.000 0.000 0.000
Ti 0.836 0.589 0.672
Ti 0.836 0.083 0.672
Ti 0.500 0.756 0.000
Ti 0.500 0.244 0.000
Ti 0.164 0.917 0.328
Ti 0.164 0.411 0.328

---

No. 22
Here is a relaxed structure of Cs2CuI6F from Alexandria via LeMat-Bulk. Energies are from PBE.

Output
For the uncorrected formation energy, the calculation gives -0.69 eV/atom. As for the calculated volume: 368.7 Å³/f.u. The spin magnetization is 0.00 Bohr magnetons per cell. As for the theoretical density: 5.00 g/cm³.

Cell lengths 7.795, 7.795, 8.198 Å; angles 61.61, 61.61, 90.00 degrees
Positions (direct):
Cs 0.750 0.250 0.500
Cs 0.250 0.750 0.500
I 0.217 0.217 0.565
I 0.783 0.783 0.435
I 0.252 0.252 0.000
I 0.748 0.748 0.000
I 0.748 0.252 0.000
I 0.252 0.748 0.000
Cu 0.000 0.000 0.000
F 0.500 0.500 0.000